# PBE CaSc, optimized geometry
data_CaSc
_symmetry_space_group_name_H-M 'P 1'
_symmetry_Int_Tables_number 1
_cell_length_a 6.0808
_cell_length_b 6.0808
_cell_length_c 6.0808
_cell_angle_alpha 130.65
_cell_angle_beta 130.65
_cell_angle_gamma 72.37
loop_
_symmetry_equiv_pos_as_xyz
'x,y,z'
loop_
_atom_site_label
_atom_site_fract_x
_atom_site_fract_y
_atom_site_fract_z
Sc1 0.7500 0.2500 0.5000
Ca1 0.2500 0.7500 0.5000
Sc2 0.5000 0.5000 0.0000
Ca2 0.0000 0.0000 0.0000
# VASP energy = -3.904 eV/atom
# Offset from the most stable computed form = 0.144 eV per atom
# M_tot = 2.2 μB per cell
# Symmetry = I4_1/amd


# PBE CaSc3, optimized geometry
data_CaSc3
_symmetry_space_group_name_H-M 'P 1'
_symmetry_Int_Tables_number 1
_cell_length_a 3.4004
_cell_length_b 3.4004
_cell_length_c 11.0181
_cell_angle_alpha 90.00
_cell_angle_beta 90.00
_cell_angle_gamma 120.00
loop_
_symmetry_equiv_pos_as_xyz
'x,y,z'
loop_
_atom_site_label
_atom_site_fract_x
_atom_site_fract_y
_atom_site_fract_z
Sc1 0.6667 0.3333 0.2732
Ca1 0.0000 0.0000 0.0000
Sc2 0.0000 0.0000 0.5000
Sc3 0.6667 0.3333 0.7268
# VASP energy = -5.133 eV/atom
# M_tot = 0.0 μB per cell
# Symmetry = P-6m2


# PBE CaSc, optimized geometry
data_CaSc
_symmetry_space_group_name_H-M 'P 1'
_symmetry_Int_Tables_number 1
_cell_length_a 6.9810
_cell_length_b 6.9810
_cell_length_c 5.4584
_cell_angle_alpha 90.00
_cell_angle_beta 90.00
_cell_angle_gamma 151.03
loop_
_symmetry_equiv_pos_as_xyz
'x,y,z'
loop_
_atom_site_label
_atom_site_fract_x
_atom_site_fract_y
_atom_site_fract_z
Sc1 0.5572 0.4428 0.7500
Sc2 0.4428 0.5572 0.2500
Ca1 0.1691 0.8309 0.2500
Ca2 0.8309 0.1691 0.7500
# VASP energy = -3.931 eV/atom
# Offset from the most stable computed form = 0.117 eV per atom
# M_tot = 2.0 μB per cell
# Symmetry = Cmcm


# PBE CaSc, optimized geometry
data_CaSc
_symmetry_space_group_name_H-M 'P 1'
_symmetry_Int_Tables_number 1
_cell_length_a 7.1262
_cell_length_b 6.1542
_cell_length_c 11.5251
_cell_angle_alpha 90.00
_cell_angle_beta 90.00
_cell_angle_gamma 90.00
loop_
_symmetry_equiv_pos_as_xyz
'x,y,z'
loop_
_atom_site_label
_atom_site_fract_x
_atom_site_fract_y
_atom_site_fract_z
Ca1 0.3754 0.7572 0.0049
Ca2 0.6287 0.9166 0.7445
Ca3 0.8754 0.7428 0.9951
Sc1 0.8743 0.7368 0.5095
Sc2 0.3868 0.0898 0.2399
Ca4 0.1287 0.5834 0.2555
Sc3 0.1257 0.2368 0.9905
Sc4 0.6132 0.5898 0.2601
Ca5 0.8713 0.0834 0.2445
Ca6 0.1246 0.2428 0.5049
Ca7 0.3713 0.4166 0.7555
Sc5 0.8868 0.4102 0.7601
Sc6 0.6257 0.2632 0.0095
Sc7 0.1132 0.9102 0.7399
Sc8 0.3743 0.7632 0.4905
Ca8 0.6246 0.2572 0.4951
# VASP energy = -3.936 eV/atom
# Offset from the most stable computed form = 0.112 eV per atom
# M_tot = 7.4 μB per cell
# Symmetry = P2_12_12_1


# PBE CaSc, optimized geometry
data_CaSc
_symmetry_space_group_name_H-M 'P 1'
_symmetry_Int_Tables_number 1
_cell_length_a 9.5302
_cell_length_b 9.5302
_cell_length_c 9.5302
_cell_angle_alpha 90.00
_cell_angle_beta 90.00
_cell_angle_gamma 90.00
loop_
_symmetry_equiv_pos_as_xyz
'x,y,z'
loop_
_atom_site_label
_atom_site_fract_x
_atom_site_fract_y
_atom_site_fract_z
Sc1 0.7500 0.5000 0.0000
Ca1 0.7500 0.0000 0.5000
Ca2 0.0000 0.5000 0.7500
Sc2 0.0000 0.7500 0.5000
Sc3 0.0000 0.2500 0.5000
Sc4 0.5000 0.0000 0.2500
Sc5 0.5000 0.0000 0.7500
Ca3 0.5000 0.7500 0.0000
Sc6 0.2500 0.5000 0.0000
Ca4 0.5000 0.2500 0.0000
Ca5 0.0000 0.5000 0.2500
Ca6 0.2500 0.0000 0.5000
# VASP energy = -2.361 eV/atom
# Offset from the most stable computed form = 1.688 eV per atom
# M_tot = 12.8 μB per cell
# Symmetry = Pm-3n


# PBE CaSc3, optimized geometry
data_CaSc3
_symmetry_space_group_name_H-M 'P 1'
_symmetry_Int_Tables_number 1
_cell_length_a 5.8787
_cell_length_b 5.8787
_cell_length_c 5.8787
_cell_angle_alpha 131.64
_cell_angle_beta 131.64
_cell_angle_gamma 70.80
loop_
_symmetry_equiv_pos_as_xyz
'x,y,z'
loop_
_atom_site_label
_atom_site_fract_x
_atom_site_fract_y
_atom_site_fract_z
Sc1 0.2500 0.7500 0.5000
Sc2 0.5000 0.5000 0.0000
Ca1 0.0000 0.0000 0.0000
Sc3 0.7500 0.2500 0.5000
# VASP energy = -5.026 eV/atom
# M_tot = 2.2 μB per cell
# Symmetry = I4/mmm


# PBE Ca4Sc, optimized geometry
data_Ca4Sc
_symmetry_space_group_name_H-M 'P 1'
_symmetry_Int_Tables_number 1
_cell_length_a 6.0465
_cell_length_b 6.0465
_cell_length_c 6.0465
_cell_angle_alpha 90.00
_cell_angle_beta 90.00
_cell_angle_gamma 90.00
loop_
_symmetry_equiv_pos_as_xyz
'x,y,z'
loop_
_atom_site_label
_atom_site_fract_x
_atom_site_fract_y
_atom_site_fract_z
Sc1 0.5000 0.5000 0.5000
Ca1 0.5000 0.0000 0.5000
Ca2 0.0000 0.5000 0.5000
Ca3 0.5000 0.5000 0.0000
Ca4 0.0000 0.0000 0.0000
# VASP energy = -2.307 eV/atom
# Offset from the most stable computed form = 0.097 eV per atom
# M_tot = 2.6 μB per cell
# Symmetry = Pm-3m


# PBE CaSc, optimized geometry
data_CaSc
_symmetry_space_group_name_H-M 'P 1'
_symmetry_Int_Tables_number 1
_cell_length_a 3.6424
_cell_length_b 3.6424
_cell_length_c 9.6633
_cell_angle_alpha 90.00
_cell_angle_beta 90.00
_cell_angle_gamma 90.00
loop_
_symmetry_equiv_pos_as_xyz
'x,y,z'
loop_
_atom_site_label
_atom_site_fract_x
_atom_site_fract_y
_atom_site_fract_z
Sc1 0.0000 0.0000 0.5333
Sc2 0.5000 0.5000 0.7167
Ca1 0.0000 0.0000 0.9708
Ca2 0.5000 0.5000 0.2792
# VASP energy = -4.048 eV/atom
# Offset from the most stable computed form = 0.000 eV per atom
# M_tot = 0.6 μB per cell
# Symmetry = P4/nmm


# PBE CaSc, optimized geometry
data_CaSc
_symmetry_space_group_name_H-M 'P 1'
_symmetry_Int_Tables_number 1
_cell_length_a 6.9954
_cell_length_b 6.9954
_cell_length_c 8.2694
_cell_angle_alpha 74.99
_cell_angle_beta 74.99
_cell_angle_gamma 29.52
loop_
_symmetry_equiv_pos_as_xyz
'x,y,z'
loop_
_atom_site_label
_atom_site_fract_x
_atom_site_fract_y
_atom_site_fract_z
Sc1 0.9793 0.9793 0.9904
Ca1 0.6103 0.6103 0.2481
Sc2 0.9459 0.9459 0.6302
Sc3 0.3013 0.3013 0.9256
Ca2 0.6597 0.6597 0.6983
Ca3 0.3368 0.3368 0.3407
# VASP energy = -3.988 eV/atom
# Offset from the most stable computed form = 0.060 eV per atom
# M_tot = 2.1 μB per cell
# Symmetry = Cm


# PBE CaSc, optimized geometry
data_CaSc
_symmetry_space_group_name_H-M 'P 1'
_symmetry_Int_Tables_number 1
_cell_length_a 6.7165
_cell_length_b 6.9425
_cell_length_c 3.5388
_cell_angle_alpha 75.23
_cell_angle_beta 74.73
_cell_angle_gamma 53.41
loop_
_symmetry_equiv_pos_as_xyz
'x,y,z'
loop_
_atom_site_label
_atom_site_fract_x
_atom_site_fract_y
_atom_site_fract_z
Sc1 0.4172 0.1207 0.2311
Ca1 0.0295 0.9924 0.9891
Sc2 0.4995 0.4626 0.5189
Ca2 0.8872 0.5909 0.7609
# VASP energy = -3.947 eV/atom
# Offset from the most stable computed form = 0.101 eV per atom
# M_tot = 1.4 μB per cell
# Symmetry = C2/m


# PBE Ca3Sc, optimized geometry
data_Ca3Sc
_symmetry_space_group_name_H-M 'P 1'
_symmetry_Int_Tables_number 1
_cell_length_a 5.2802
_cell_length_b 5.2802
_cell_length_c 6.4346
_cell_angle_alpha 114.22
_cell_angle_beta 114.22
_cell_angle_gamma 90.00
loop_
_symmetry_equiv_pos_as_xyz
'x,y,z'
loop_
_atom_site_label
_atom_site_fract_x
_atom_site_fract_y
_atom_site_fract_z
Ca1 0.5000 0.5000 0.0000
Ca2 0.2500 0.7500 0.5000
Sc1 0.0000 0.0000 0.0000
Ca3 0.7500 0.2500 0.5000
# VASP energy = -2.884 eV/atom
# Offset from the most stable computed form = 0.055 eV per atom
# M_tot = 0.5 μB per cell
# Symmetry = I4/mmm


# PBE Ca4Sc, optimized geometry
data_Ca4Sc
_symmetry_space_group_name_H-M 'P 1'
_symmetry_Int_Tables_number 1
_cell_length_a 9.9585
_cell_length_b 9.9585
_cell_length_c 9.9585
_cell_angle_alpha 153.38
_cell_angle_beta 153.38
_cell_angle_gamma 38.00
loop_
_symmetry_equiv_pos_as_xyz
'x,y,z'
loop_
_atom_site_label
_atom_site_fract_x
_atom_site_fract_y
_atom_site_fract_z
Ca1 0.7500 0.2500 0.5000
Ca2 0.2500 0.7500 0.5000
Ca3 0.5908 0.5908 0.0000
Sc1 0.0000 0.0000 0.0000
Ca4 0.4092 0.4092 0.0000
# VASP energy = -2.404 eV/atom
# Offset from the most stable computed form = 0.000 eV per atom
# M_tot = 0.5 μB per cell
# Symmetry = I4/mmm


What did the ninth record say?
# PBE CaSc, optimized geometry
data_CaSc
_symmetry_space_group_name_H-M 'P 1'
_symmetry_Int_Tables_number 1
_cell_length_a 6.9954
_cell_length_b 6.9954
_cell_length_c 8.2694
_cell_angle_alpha 74.99
_cell_angle_beta 74.99
_cell_angle_gamma 29.52
loop_
_symmetry_equiv_pos_as_xyz
'x,y,z'
loop_
_atom_site_label
_atom_site_fract_x
_atom_site_fract_y
_atom_site_fract_z
Sc1 0.9793 0.9793 0.9904
Ca1 0.6103 0.6103 0.2481
Sc2 0.9459 0.9459 0.6302
Sc3 0.3013 0.3013 0.9256
Ca2 0.6597 0.6597 0.6983
Ca3 0.3368 0.3368 0.3407
# VASP energy = -3.988 eV/atom
# Offset from the most stable computed form = 0.060 eV per atom
# M_tot = 2.1 μB per cell
# Symmetry = Cm